--- a ---
VASP calculation (PBE-GGA) on a relaxed structure of PaAlZn4.

abc: 4.3438 7.4876 6.7477
angles: 90.00 90.00 90.00
Last column: nearest neighbours and their distance in Å.
Atoms (fractional coordinates):
Zn: 0.5000 0.3335 0.9443  3 Zn 2.60-2.86, 2 Al 2.62
Zn: 0.5000 0.6665 0.4443  3 Zn 2.60-2.86, 2 Al 2.62
Zn: 0.5000 0.0684 0.2500  6 Zn 2.80-2.86, 2 Pa 3.07
Zn: 0.5000 0.9316 0.7500  6 Zn 2.80-2.86, 2 Pa 3.07
Zn: 0.5000 0.6665 0.0557  3 Zn 2.60-2.86, 2 Al 2.62
Zn: 0.0000 0.0000 0.5000  2 Al 2.51, 4 Zn 2.80
Zn: 0.0000 0.0000 0.0000  2 Al 2.51, 4 Zn 2.80
Zn: 0.5000 0.3335 0.5557  3 Zn 2.60-2.86, 2 Al 2.62
Pa: 0.0000 0.6411 0.7500  1 Al 2.94, 8 Zn 3.00-3.17
Pa: 0.0000 0.3589 0.2500  1 Al 2.94, 8 Zn 3.00-3.17
Al: 0.0000 0.7519 0.2500  6 Zn 2.51-2.62
Al: 0.0000 0.2481 0.7500  6 Zn 2.51-2.62

M_tot = 0.11 μB per atom
space group = Pmma, No. 51

--- b ---
VASP calculation (PBE-GGA) on a relaxed structure of PaAlZn4.

abc: 5.3460 5.3460 5.3460
angles: 60.00 60.00 60.00
Last column: nearest neighbours and their distance in Å.
Atoms (fractional coordinates):
Pa: 0.2500 0.2500 0.2500  12 Zn 3.13, 4 Al 3.27
Al: 0.0000 0.0000 0.0000  12 Zn 3.13, 4 Pa 3.27
Zn: 0.6249 0.6249 0.1252  6 Zn 2.67
Zn: 0.6249 0.6249 0.6249  6 Zn 2.67
Zn: 0.6249 0.1252 0.6249  6 Zn 2.67
Zn: 0.1252 0.6249 0.6249  6 Zn 2.67

M_tot = 0.12 μB per atom
space group = F-43m, No. 216

Stability order, top to bottom: a, b